No. 1
The following is a DFT calculation (PBE) of an optimized crystal structure of CsTl6Sb.

a b c (Å): 5.6477 5.6477 9.2804
angles (deg): 90.00 90.00 90.00
Last column: nearest neighbours and their distance in Å.
Space group P4/mmm (No. 123)
Unique sites:
Cs1 0.0000 0.0000 0.0000 [1 per cell]  16 Tl 4.11-4.27
Tl1 0.0000 0.5000 0.3213 [4 per cell]  3 Tl 3.18-3.32, 2 Sb 3.27
Tl2 0.5000 0.5000 0.1636 [2 per cell]  5 Tl 3.04-3.18
Sb1 0.0000 0.0000 0.5000 [1 per cell]  8 Tl 3.27

Output
E_form (uncorrected)	-0.035	eV per atom
D(E_F)	3.4	states/eV/f.u.

=====

No. 2
The following is a DFT calculation (PBE) of an optimized crystal structure of Cs2Tl5Sb.

a b c (Å): 5.8083 5.8083 17.7866
angles (deg): 90.00 90.00 90.00
Last column: nearest neighbours and their distance in Å.
Space group I4/mmm (No. 139)
Unique sites:
Cs1 0.0000 0.0000 0.2409 [4 per cell]  8 Tl 3.88-4.11, 4 Cs 4.12, 1 Sb 4.28
Tl1 0.0000 0.0000 0.5000 [2 per cell]  8 Tl 3.37
Tl2 0.0000 0.5000 0.0958 [8 per cell]  3 Tl 3.37-3.41, 2 Sb 3.37
Sb1 0.0000 0.0000 0.0000 [2 per cell]  8 Tl 3.37

Output
E_form (uncorrected)	-0.098	eV per atom
D(E_F)	4.2	states/eV/f.u.

=====

No. 3
The following is a DFT calculation (PBE) of an optimized crystal structure of Cs3Tl9Sb2.

a b c (Å): 5.4961 12.5604 15.6154
angles (deg): 90.00 90.00 90.00
Last column: nearest neighbours and their distance in Å.
Space group Immm (No. 71)
Unique sites:
Cs1 0.0000 0.0000 0.0000 [2 per cell]  12 Tl 4.05-4.18, 4 Sb 4.46
Cs2 0.0000 0.0000 0.3134 [4 per cell]  10 Tl 3.97-4.00, 2 Sb 4.02
Tl1 0.0000 0.2832 0.1242 [8 per cell]  4 Tl 3.34-3.39, 2 Sb 3.36
Tl2 0.0000 0.3606 0.3321 [8 per cell]  1 Sb 3.16, 4 Tl 3.36-3.50
Tl3 0.0000 0.5000 0.0000 [2 per cell]  4 Tl 3.34
Sb1 0.0000 0.2207 0.5000 [4 per cell]  6 Tl 3.16-3.36

Output
E_form (uncorrected)	-0.104	eV per atom
D(E_F)	8.9	states/eV/f.u.

=====

No. 4
The following is a DFT calculation (PBE) of an optimized crystal structure of CsTl5Sb.

a b c (Å): 5.0310 5.0310 10.8683
angles (deg): 90.00 90.00 90.00
Last column: nearest neighbours and their distance in Å.
Space group P4/mmm (No. 123)
Unique sites:
Cs1 0.0000 0.0000 0.0000 [1 per cell]  8 Tl 4.02
Tl1 0.0000 0.0000 0.5000 [1 per cell]  8 Tl 3.40, 4 Sb 3.56
Tl2 0.0000 0.5000 0.2889 [4 per cell]  6 Tl 3.40-3.56, 2 Sb 3.40
Sb1 0.5000 0.5000 0.5000 [1 per cell]  12 Tl 3.40-3.56

Output
E_form (uncorrected)	-0.070	eV per atom
D(E_F)	2.8	states/eV/f.u.

=====

No. 5
The following is a DFT calculation (PBE) of an optimized crystal structure of CsTl7Sb2.

a b c (Å): 9.5319 17.5724 5.2504
angles (deg): 90.00 90.00 90.00
Last column: nearest neighbours and their distance in Å.
Space group Cmmm (No. 65)
Unique sites:
Cs1 0.0000 0.0000 0.0000 [2 per cell]  10 Tl 3.85-4.09
Tl1 0.0000 0.2190 0.0000 [4 per cell]  2 Sb 3.08, 4 Tl 3.44
Tl2 0.0000 0.5000 0.5000 [2 per cell]  2 Sb 3.33
Tl3 0.1905 0.1455 0.5000 [8 per cell]  1 Sb 3.05
Sb1 0.0000 0.3105 0.5000 [4 per cell]  5 Tl 3.05-3.33

Output
E_form (uncorrected)	0.061	eV per atom
D(E_F)	4.3	states/eV/f.u.

=====

No. 6
The following is a DFT calculation (PBE) of an optimized crystal structure of CsTlSb3.

a b c (Å): 5.9016 5.9016 5.9016
angles (deg): 90.00 90.00 90.00
Last column: nearest neighbours and their distance in Å.
Space group Pm-3m (No. 221)
Unique sites:
Cs1 0.0000 0.0000 0.0000 [1 per cell]  12 Sb 4.17
Tl1 0.5000 0.5000 0.5000 [1 per cell]  6 Sb 2.95
Sb1 0.0000 0.5000 0.5000 [3 per cell]  2 Tl 2.95

Output
ΔE to the lowest computed polymorph	0.5475	eV/atom
E_form (uncorrected)	0.396	eV per atom
D(E_F)	3.7	states/eV/f.u.

=====

No. 7
The following is a DFT calculation (PBE) of an optimized crystal structure of CsTl3Sb.

a b c (Å): 5.7091 5.7091 11.7716
angles (deg): 90.00 90.00 90.00
Last column: nearest neighbours and their distance in Å.
Space group I4mm (No. 107)
Unique sites:
Cs1 0.0000 0.0000 0.0000 [2 per cell]  13 Tl 4.09-4.33, 5 Sb 4.28-4.45
Tl1 0.0000 0.0000 0.6335 [2 per cell]  1 Sb 3.00, 4 Tl 3.16
Tl2 0.0000 0.5000 0.2491 [4 per cell]  2 Tl 3.16, 2 Sb 3.23
Sb1 0.0000 0.0000 0.3783 [2 per cell]  5 Tl 3.00-3.23

Output
ΔE to the lowest computed polymorph	0.0259	eV/atom
E_form (uncorrected)	-0.131	eV per atom
D(E_F)	3.0	states/eV/f.u.

=====

No. 8
The following is a DFT calculation (PBE) of an optimized crystal structure of Cs2Tl7Sb.

a b c (Å): 5.2558 5.2558 13.9371
angles (deg): 90.00 90.00 90.00
Last column: nearest neighbours and their distance in Å.
Space group P-4m2 (No. 115)
Unique sites:
Cs1 0.0000 0.5000 0.2415 [2 per cell]  14 Tl 4.00-4.46, 2 Sb 4.27
Tl1 0.0000 0.0000 0.0000 [1 per cell]  4 Tl 3.24
Tl2 0.0000 0.0000 0.5000 [1 per cell]  4 Tl 3.20
Tl3 0.0000 0.5000 0.6306 [2 per cell]  5 Tl 3.20-3.26
Tl4 0.0000 0.5000 0.8643 [2 per cell]  3 Tl 3.24-3.26, 2 Sb 3.24
Tl5 0.5000 0.5000 0.5000 [1 per cell]  4 Tl 3.20
Sb1 0.5000 0.5000 0.0000 [1 per cell]  4 Tl 3.24

Output
E_form (uncorrected)	-0.090	eV per atom
D(E_F)	6.1	states/eV/f.u.

=====

No. 9
The following is a DFT calculation (PBE) of an optimized crystal structure of Cs2TlZnSb2.

a b c (Å): 7.3667 17.3655 7.2616
angles (deg): 90.00 90.00 90.00
Last column: nearest neighbours and their distance in Å.
Space group Ibam (No. 72)
Unique sites:
Cs1 0.2397 0.1678 0.0000 [8 per cell]  4 Sb 3.76-4.10, 2 Tl 3.86, 2 Zn 3.93
Tl1 0.0000 0.0000 0.2500 [4 per cell]  4 Sb 3.17
Zn1 0.0000 0.5000 0.2500 [4 per cell]  4 Sb 2.86
Sb1 0.2148 0.4115 0.0000 [8 per cell]  2 Zn 2.86, 2 Tl 3.17

Output
E_form (uncorrected)	-0.332	eV per atom
D(E_F)	1.9	states/eV/f.u.

=====

No. 10
The following is a DFT calculation (PBE) of an optimized crystal structure of CsTlZn2Sb2.

a b c (Å): 4.5932 4.5932 11.0826
angles (deg): 90.00 90.00 120.00
Last column: nearest neighbours and their distance in Å.
Space group P-3m1 (No. 164)
Unique sites:
Cs1 0.0000 0.0000 0.0000 [1 per cell]  6 Sb 4.02, 6 Zn 4.12
Tl1 0.0000 0.0000 0.5000 [1 per cell]  6 Zn 3.57, 6 Sb 3.66
Zn1 0.3333 0.6667 0.7158 [2 per cell]  3 Sb 2.66
Sb1 0.3333 0.6667 0.2723 [2 per cell]  3 Zn 2.66

Output
E_form (uncorrected)	-0.214	eV per atom
D(E_F)	0.0	states/eV/f.u.

=====

No. 11
The following is a DFT calculation (PBE) of an optimized crystal structure of Cs3VSb.

a b c (Å): 6.5390 6.5390 6.5390
angles (deg): 90.00 90.00 90.00
Last column: nearest neighbours and their distance in Å.
Space group Pm-3m (No. 221)
Unique sites:
Cs1 0.0000 0.0000 0.5000 [3 per cell]  2 V 3.27
V1 0.0000 0.0000 0.0000 [1 per cell]  6 Cs 3.27
Sb1 0.5000 0.5000 0.5000 [1 per cell]  12 Cs 4.62

Output
E_form (uncorrected)	0.838	eV per atom
D(E_F)	7.0	states/eV/f.u.

=====

No. 12
The following is a DFT calculation (PBE) of an optimized crystal structure of CsVSb2.

a b c (Å): 3.4574 3.4574 9.4093
angles (deg): 90.00 90.00 90.00
Last column: nearest neighbours and their distance in Å.
Space group P4/mmm (No. 123)
Unique sites:
Cs1 0.0000 0.0000 0.0000 [1 per cell]  4 Cs 3.46
V1 0.0000 0.0000 0.5000 [1 per cell]  8 Sb 2.94
Sb1 0.5000 0.5000 0.3259 [2 per cell]  4 V 2.94, 1 Sb 3.28

Output
E_form (uncorrected)	-0.031	eV per atom
D(E_F)	2.6	states/eV/f.u.

=====

Look up the E_form (uncorrected) of the seventh one. -0.131 eV per atom

=====

The lowest D(E_F) belongs to which entry? CsTlZn2Sb2